A plane-wave DFT calculation with PBE was carried out for crystalline SrYPS2 at its relaxed geometry.

Unit cell a=5.235 b=5.235 c=5.238 alpha=90.00 beta=90.00 gamma=90.00
Sites, in units of the cell vectors:
Y (0.000, 0.000, 0.000)
Sr (0.500, 0.500, 0.500)
S (0.000, 0.500, 0.000)
S (0.500, 0.000, 0.000)
P (0.000, 0.000, 0.500)

Calculated values
M_tot = 0.00 μB per formula unit
Space group = P4/mmm
ΔE_f (raw) = -1.018 eV per atom
DFT total energy = -5.380 eV/atom
Calculated volume = 144 Å³/cell
N(E_F) = 5.37 states/eV/cell